{
  "formula": "Ho2TcRu",
  "functional": "PBE-GGA",
  "state": "optimized geometry",
  "e_tot_ev_per_atom": -6.618,
  "space_group": "R-3m",
  "formation_enthalpy_0k_ev_per_atom": 0.581,
  "n_ef_per_ev_cell": 6.7,
  "lattice": [[1.594, 0.920, 9.541], [-1.594, 0.920, 9.541], [0.000, -1.840, 9.541]],
  "species": ["Ho", "Ho", "Tc", "Ru"],
  "fractional_positions": [[0.090, 0.090, 0.090], [0.910, 0.910, 0.910], [0.500, 0.500, 0.500], [0.000, 0.000, 0.000]]
}